1.
Entry from the Alexandria database: a geometry-optimized ThScCuAu structure (PBE-GGA).

Formation energy from the elements   -369 meV per atom

a b c (Å): 5.0030 5.0030 5.0030
angles (deg): 60.00 60.00 60.00
Sites, in units of the cell vectors:
Sc1 0.5000 0.5000 0.5000
Au1 0.7500 0.7500 0.7500
Cu1 0.2500 0.2500 0.2500
Th1 0.0000 0.0000 0.0000

=====

2.
Entry from the Alexandria database: a geometry-optimized Sc4ZnCuAu2 structure (PBE-GGA).

Formation energy from the elements   -566 meV per atom

a b c (Å): 4.7600 4.7600 8.2282
angles (deg): 73.19 73.19 60.00
Sites, in units of the cell vectors:
Sc1 0.3774 0.3774 0.8678
Sc2 0.8729 0.8729 0.3813
Sc3 0.1271 0.1271 0.6187
Sc4 0.6226 0.6226 0.1322
Zn1 0.0000 0.0000 0.0000
Cu1 0.5000 0.5000 0.5000
Au1 0.7476 0.7476 0.7572
Au2 0.2524 0.2524 0.2428

=====

3.
Entry from the Alexandria database: a geometry-optimized Sc2Zn6CuAu structure (PBE-GGA).

Formation energy from the elements   124 meV per atom

a b c (Å): 6.5946 6.5957 6.5829
angles (deg): 59.96 59.97 90.01
Sites, in units of the cell vectors:
Sc1 0.7501 0.2502 0.4996
Sc2 0.2499 0.7498 0.5004
Zn1 0.2407 0.2407 0.5186
Zn2 0.7595 0.7592 0.0000
Zn3 0.2408 0.7594 0.0000
Zn4 0.7592 0.2406 0.0000
Zn5 0.2405 0.2408 0.0000
Zn6 0.7593 0.7593 0.4814
Cu1 0.0000 0.0000 0.0000
Au1 0.5000 0.5000 0.0000

=====

Raw total energy values, unit eV per atom, following the record order: -5.6500, -5.2225, -2.6437.
N(E_F) values, unit states/eV per cell, following the record order: 4.3, 6.6, 7.2.